No. 1
VASP calculation (PBE-GGA) on a geometry-optimized Y3HfAu structure.

abc: 5.475 5.475 5.475
angles: 90.00 90.00 90.00
Site moments in Bohr magnetons follow the coordinates.
Fractional coordinates of all 5 atoms:
Y1 0.000 0.500 0.000  0.06
Y2 0.500 0.000 0.000  0.08
Hf1 0.500 0.500 0.500  0.61
Au1 0.000 0.000 0.000  0.00
Y3 0.000 0.000 0.500  0.06

Output
calculated total energy	-0.2281	hartree per atom
polymorph energy (0 for the lowest one)	0.000	eV per atom
DFT formation energy	0.32	eV/atom

No. 2
VASP calculation (PBE-GGA) on a geometry-optimized Pr3Ni4P2 structure.

abc: 3.982 5.719 8.113
angles: 100.69 90.00 110.37
Fractional coordinates of all 9 atoms:
Ni1 0.280 0.560 0.932
Pr1 0.662 0.324 0.664
Pr2 0.338 0.676 0.336
Ni2 0.720 0.440 0.068
Ni3 0.942 0.884 0.619
P1 0.611 0.222 0.282
Ni4 0.058 0.116 0.381
P2 0.389 0.778 0.718
Pr3 0.000 0.000 0.000

Output
calculated total energy	-0.2271	hartree per atom
DFT formation energy	-0.81	eV/atom

No. 3
VASP calculation (PBE-GGA) on a geometry-optimized K4Cu3PbF12 structure.

abc: 7.395 7.395 7.395
angles: 109.47 109.47 109.47
Site moments in Bohr magnetons follow the coordinates.
Fractional coordinates of all 20 atoms:
K1 0.000 0.500 0.000  0.00
F1 0.000 0.274 0.274  0.05
F2 0.274 0.274 0.000  0.05
F3 0.726 0.726 0.000  0.05
K2 0.000 0.000 0.500  0.00
Pb1 0.000 0.000 0.000  0.05
F4 0.000 0.726 0.726  0.05
F5 0.750 0.500 0.250  0.08
F6 0.250 0.500 0.750  0.08
K3 0.500 0.500 0.500  0.00
F7 0.274 0.000 0.274  0.05
F8 0.750 0.250 0.500  0.08
F9 0.500 0.750 0.250  0.08
F10 0.500 0.250 0.750  0.08
Cu1 0.500 0.000 0.500  0.70
F11 0.726 0.000 0.726  0.05
K4 0.500 0.000 0.000  0.00
Cu2 0.500 0.500 0.000  0.70
Cu3 0.000 0.500 0.500  0.70
F12 0.250 0.750 0.500  0.08

Output
energy relative to the elements, uncorrected	-4182	kJ/mol of formula units
calculated total energy	-0.1584	hartree per atom

No. 4
VASP calculation (PBE-GGA) on a geometry-optimized HoPuPa2As4 structure.

abc: 4.111 7.089 7.123
angles: 70.43 90.00 90.00
Site moments in Bohr magnetons follow the coordinates.
Fractional coordinates of all 8 atoms:
Ho1 0.500 0.500 0.000  -0.01
Pu1 0.000 0.500 0.500  5.18
As1 0.000 0.248 0.249  -0.01
As2 0.000 0.752 0.751  -0.01
Pa1 0.500 0.000 0.500  0.04
As3 0.500 0.752 0.248  -0.04
As4 0.500 0.248 0.752  -0.04
Pa2 0.000 0.000 0.000  0.31

Output
calculated total energy	-0.3027	hartree per atom
DFT formation energy	-1.17	eV/atom

Repeat the fourth record exactly.
VASP calculation (PBE-GGA) on a geometry-optimized HoPuPa2As4 structure.

abc: 4.111 7.089 7.123
angles: 70.43 90.00 90.00
Site moments in Bohr magnetons follow the coordinates.
Fractional coordinates of all 8 atoms:
Ho1 0.500 0.500 0.000  -0.01
Pu1 0.000 0.500 0.500  5.18
As1 0.000 0.248 0.249  -0.01
As2 0.000 0.752 0.751  -0.01
Pa1 0.500 0.000 0.500  0.04
As3 0.500 0.752 0.248  -0.04
As4 0.500 0.248 0.752  -0.04
Pa2 0.000 0.000 0.000  0.31

Output
calculated total energy	-0.3027	hartree per atom
DFT formation energy	-1.17	eV/atom

- Which value of calculated total energy does entry 3 give?
  -0.1584 hartree per atom